(P)
A plane-wave DFT calculation with PBE was carried out for YTaF3 after structural relaxation.

- crystal system = cubic
- DOS(E_F) (states/eV/cell) = 3.5

Lattice parameters (Å, degrees): 4.4068 4.4068 4.4068 90.00 90.00 90.00
Last column: nearest neighbours and their distance in Å.
Fractional positions:
F1 0.5000 0.0000 0.0000  2 Ta 2.20
F2 0.0000 0.5000 0.0000  2 Ta 2.20
Y1 0.5000 0.5000 0.5000  12 F 3.12
F3 0.0000 0.0000 0.5000  2 Ta 2.20
Ta1 0.0000 0.0000 0.0000  6 F 2.20



(Q)
A plane-wave DFT calculation with PBE was carried out for YTaF3 after structural relaxation.

- crystal system = cubic
- DOS(E_F) (states/eV/cell) = 5.1

Lattice parameters (Å, degrees): 4.5167 4.5167 4.5167 90.00 90.00 90.00
Last column: nearest neighbours and their distance in Å.
Fractional positions:
Y1 0.0000 0.0000 0.0000  6 F 2.26
Ta1 0.5000 0.5000 0.5000  12 F 3.19
F1 0.0000 0.5000 0.0000  2 Y 2.26
F2 0.0000 0.0000 0.5000  2 Y 2.26
F3 0.5000 0.0000 0.0000  2 Y 2.26



Computed stability ranking, most favorable first: (Q), (P)



(P)
A plane-wave DFT calculation with PBE was carried out for YTaF2 after structural relaxation.

- crystal system = cubic
- DOS(E_F) (states/eV/cell) = 4.8

Lattice parameters (Å, degrees): 4.5071 4.5071 4.5071 60.00 60.00 60.00
Last column: nearest neighbours and their distance in Å.
Fractional positions:
Y1 0.0000 0.0000 0.0000  8 F 2.76
F1 0.7500 0.7500 0.7500  4 Ta 2.76, 4 Y 2.76
F2 0.2500 0.2500 0.2500  4 Ta 2.76, 4 Y 2.76
Ta1 0.5000 0.5000 0.5000  8 F 2.76



(Q)
A plane-wave DFT calculation with PBE was carried out for YTaF2 after structural relaxation.

- crystal system = trigonal
- DOS(E_F) (states/eV/cell) = 3.0

Lattice parameters (Å, degrees): 8.0291 8.0291 8.0291 21.77 21.77 21.77
Last column: nearest neighbours and their distance in Å.
Fractional positions:
Y1 0.5000 0.5000 0.5000  6 F 2.45
F1 0.9060 0.9060 0.9060  1 Ta 2.21, 3 Y 2.45
F2 0.0940 0.0940 0.0940  1 Ta 2.21, 3 Y 2.45
Ta1 0.0000 0.0000 0.0000  2 F 2.21



Computed stability ranking, most favorable first: (Q), (P)



(P)
A plane-wave DFT calculation with PBE was carried out for YTa2F after structural relaxation.

- crystal system = cubic
- DOS(E_F) (states/eV/cell) = 5.7

Lattice parameters (Å, degrees): 4.7560 4.7560 4.7560 60.00 60.00 60.00
Last column: nearest neighbours and their distance in Å.
Fractional positions:
F1 0.0000 0.0000 0.0000  8 Ta 2.91
Ta1 0.7500 0.7500 0.7500  4 Y 2.91, 4 F 2.91
Ta2 0.2500 0.2500 0.2500  4 Y 2.91, 4 F 2.91
Y1 0.5000 0.5000 0.5000  8 Ta 2.91



(Q)
A plane-wave DFT calculation with PBE was carried out for YTa2F after structural relaxation.

- crystal system = tetragonal
- DOS(E_F) (states/eV/cell) = 10.4

Lattice parameters (Å, degrees): 5.6558 5.6558 7.0173 66.23 66.23 90.00
Last column: nearest neighbours and their distance in Å.
Fractional positions:
F1 0.2500 0.7500 0.5000  4 Ta 2.02
Ta1 0.3750 0.6253 0.7500  2 F 2.02
F2 0.5000 0.5000 0.0000  4 Ta 2.02
Y1 0.7500 0.2500 0.5000  8 Ta 3.47-3.48
Ta2 0.8750 0.6247 0.7500  2 F 2.02
Y2 0.0000 0.0000 0.0000  8 Ta 3.47-3.48
Ta3 0.3753 0.6250 0.2500  2 F 2.02
Ta4 0.3747 0.1250 0.2500  2 F 2.02



Computed stability ranking, most favorable first: (Q), (P)



(P)
A plane-wave DFT calculation with PBE was carried out for Y2TaF after structural relaxation.

- crystal system = cubic
- DOS(E_F) (states/eV/cell) = 5.7

Lattice parameters (Å, degrees): 5.0583 5.0583 5.0583 60.00 60.00 60.00
Last column: nearest neighbours and their distance in Å.
Fractional positions:
F1 0.0000 0.0000 0.0000  8 Y 3.10
Y1 0.2500 0.2500 0.2500  4 Ta 3.10, 4 F 3.10
Ta1 0.5000 0.5000 0.5000  8 Y 3.10
Y2 0.7500 0.7500 0.7500  4 F 3.10, 4 Ta 3.10



(Q)
A plane-wave DFT calculation with PBE was carried out for Y2TaF after structural relaxation.

- crystal system = tetragonal
- DOS(E_F) (states/eV/cell) = 8.0

Lattice parameters (Å, degrees): 7.0549 7.0549 6.2057 55.36 55.36 90.00
Last column: nearest neighbours and their distance in Å.
Fractional positions:
Y1 0.5355 0.1250 0.2500  2 F 2.29
Y2 0.8750 0.7855 0.7500  2 F 2.29
F1 0.5000 0.5000 0.0000  4 Y 2.29
Ta1 0.7500 0.2500 0.5000  8 Y 3.11-3.47
Ta2 0.0000 0.0000 0.0000  8 Y 3.11-3.47
Y3 0.2145 0.6250 0.2500  2 F 2.29
Y4 0.3750 0.4645 0.7500  2 F 2.29
F2 0.2500 0.7500 0.5000  4 Y 2.29



Computed stability ranking, most favorable first: (Q), (P)



(P)
A plane-wave DFT calculation with PBE was carried out for Y3TaF after structural relaxation.

- crystal system = cubic
- DOS(E_F) (states/eV/cell) = 4.3

Lattice parameters (Å, degrees): 5.5262 5.5262 5.5262 90.00 90.00 90.00
Last column: nearest neighbours and their distance in Å.
Fractional positions:
Y1 0.0000 0.0000 0.5000  2 Ta 2.76
Y2 0.5000 0.0000 0.0000  2 Ta 2.76
F1 0.5000 0.5000 0.5000  12 Y 3.91
Ta1 0.0000 0.0000 0.0000  6 Y 2.76
Y3 0.0000 0.5000 0.0000  2 Ta 2.76



(Q)
A plane-wave DFT calculation with PBE was carried out for Y3TaF after structural relaxation.

- crystal system = cubic
- DOS(E_F) (states/eV/cell) = 6.2

Lattice parameters (Å, degrees): 4.8298 4.8298 4.8298 90.00 90.00 90.00
Last column: nearest neighbours and their distance in Å.
Fractional positions:
Y1 0.0000 0.5000 0.0000  2 F 2.41
F1 0.0000 0.0000 0.0000  6 Y 2.41
Ta1 0.5000 0.5000 0.5000  12 Y 3.42
Y2 0.5000 0.0000 0.0000  2 F 2.41
Y3 0.0000 0.0000 0.5000  2 F 2.41



Computed stability ranking, most favorable first: (Q), (P)



(P)
A plane-wave DFT calculation with PBE was carried out for Ta2ZnF after structural relaxation.

- crystal system = cubic
- DOS(E_F) (states/eV/cell) = 7.2

Lattice parameters (Å, degrees): 4.3903 4.3903 4.3903 60.00 60.00 60.00
Last column: nearest neighbours and their distance in Å.
Fractional positions:
Ta1 0.7500 0.7500 0.7500  4 F 2.69, 4 Zn 2.69
Zn1 0.5000 0.5000 0.5000  8 Ta 2.69
Ta2 0.2500 0.2500 0.2500  4 Zn 2.69, 4 F 2.69
F1 0.0000 0.0000 0.0000  8 Ta 2.69



(Q)
A plane-wave DFT calculation with PBE was carried out for Ta2ZnF after structural relaxation.

- crystal system = tetragonal
- DOS(E_F) (states/eV/cell) = 6.1

Lattice parameters (Å, degrees): 3.8229 3.8229 9.7238 78.66 78.66 90.00
Last column: nearest neighbours and their distance in Å.
Fractional positions:
Ta1 0.3750 0.3686 0.7500  4 Ta 2.67-2.74, 2 Zn 2.69, 2 F 2.71
Ta2 0.1186 0.6250 0.2500  4 Ta 2.67-2.74, 2 Zn 2.69, 2 F 2.71
Ta3 0.6314 0.1250 0.2500  4 Ta 2.67-2.74, 2 Zn 2.69, 2 F 2.71
Zn1 0.7500 0.2500 0.5000  4 Ta 2.69, 4 F 2.70
F1 0.2500 0.7500 0.5000  4 Zn 2.70, 4 Ta 2.71
Ta4 0.8750 0.8814 0.7500  4 Ta 2.67-2.74, 2 Zn 2.69, 2 F 2.71
Zn2 0.0000 0.0000 0.0000  4 Ta 2.69, 4 F 2.70
F2 0.5000 0.5000 0.0000  4 Zn 2.70, 4 Ta 2.71



Computed stability ranking, most favorable first: (P), (Q)



(P)
A plane-wave DFT calculation with PBE was carried out for TaZn3F after structural relaxation.

- crystal system = cubic
- DOS(E_F) (states/eV/cell) = 3.5

Lattice parameters (Å, degrees): 4.2580 4.2580 4.2580 90.00 90.00 90.00
Last column: nearest neighbours and their distance in Å.
Fractional positions:
Zn1 0.0000 0.0000 0.5000  2 F 2.13
Zn2 0.0000 0.5000 0.0000  2 F 2.13
F1 0.0000 0.0000 0.0000  6 Zn 2.13
Zn3 0.5000 0.0000 0.0000  2 F 2.13
Ta1 0.5000 0.5000 0.5000  12 Zn 3.01



(Q)
A plane-wave DFT calculation with PBE was carried out for TaZn3F after structural relaxation.

- crystal system = cubic
- DOS(E_F) (states/eV/cell) = 5.5

Lattice parameters (Å, degrees): 5.1992 5.1992 5.1992 90.00 90.00 90.00
Last column: nearest neighbours and their distance in Å.
Fractional positions:
Zn1 0.0000 0.5000 0.0000  2 Ta 2.60
Zn2 0.0000 0.0000 0.5000  2 Ta 2.60
Zn3 0.5000 0.0000 0.0000  2 Ta 2.60
F1 0.5000 0.5000 0.5000  12 Zn 3.68
Ta1 0.0000 0.0000 0.0000  6 Zn 2.60



Computed stability ranking, most favorable first: (P), (Q)



(P)
A plane-wave DFT calculation with PBE was carried out for ZrTaF2 after structural relaxation.

- crystal system = trigonal
- DOS(E_F) (states/eV/cell) = 2.1

Lattice parameters (Å, degrees): 7.9437 7.9437 7.9437 20.84 20.84 20.84
Last column: nearest neighbours and their distance in Å.
Fractional positions:
Ta1 0.0000 0.0000 0.0000  2 F 2.26
F1 0.0968 0.0968 0.0968  1 Ta 2.26, 3 Zr 2.32
F2 0.9032 0.9032 0.9032  1 Ta 2.26, 3 Zr 2.32
Zr1 0.5000 0.5000 0.5000  6 F 2.32



(Q)
A plane-wave DFT calculation with PBE was carried out for ZrTaF2 after structural relaxation.

- crystal system = cubic
- DOS(E_F) (states/eV/cell) = 5.2

Lattice parameters (Å, degrees): 4.3739 4.3739 4.3739 60.00 60.00 60.00
Last column: nearest neighbours and their distance in Å.
Fractional positions:
Zr1 0.0000 0.0000 0.0000  8 F 2.68
F1 0.7500 0.7500 0.7500  4 Zr 2.68, 4 Ta 2.68
Ta1 0.5000 0.5000 0.5000  8 F 2.68
F2 0.2500 0.2500 0.2500  4 Zr 2.68, 4 Ta 2.68



(R)
A plane-wave DFT calculation with PBE was carried out for ZrTaF2 after structural relaxation.

- crystal system = tetragonal
- DOS(E_F) (states/eV/cell) = 4.9

Lattice parameters (Å, degrees): 5.0033 5.0033 6.0758 65.69 65.69 90.00
Last column: nearest neighbours and their distance in Å.
Fractional positions:
Zr1 0.2500 0.7500 0.5000  4 F 2.15
F1 0.8750 0.8721 0.7500  2 Zr 2.15, 2 Ta 2.17
Zr2 0.5000 0.5000 0.0000  4 F 2.15
Ta1 0.7500 0.2500 0.5000  4 F 2.17
F2 0.6221 0.1250 0.2500  2 Zr 2.15, 2 Ta 2.17
F3 0.3750 0.3779 0.7500  2 Zr 2.15, 2 Ta 2.17
Ta2 0.0000 0.0000 0.0000  4 F 2.17
F4 0.1279 0.6250 0.2500  2 Zr 2.15, 2 Ta 2.17



Computed stability ranking, most favorable first: (P), (R), (Q)